*one*
Here is a crystal of SiC2 relaxed with PBEsol from the Alexandria database. Energies are from meta-GGA SCAN.

Cell lengths 4.5182, 4.5182, 2.9223 Å; angles 90.00, 90.00, 90.00 degrees
Space group P4_2/mnm (No. 136)
Asymmetric unit:
1 Si 0.0000 0.0000 0.0000
2 C 0.2073 0.2073 0.5000



*two*
Here is a crystal of SiC2 relaxed with PBEsol from the Alexandria database. Energies are from meta-GGA SCAN.

Cell lengths 4.0137, 4.0137, 3.6783 Å; angles 90.00, 90.00, 120.00 degrees
Space group P6_3/mmc (No. 194)
Asymmetric unit:
1 Si 0.3333 0.6667 0.2500
2 C 0.0000 0.0000 0.0000
3 C 0.3333 0.6667 0.7500



*three*
Here is a crystal of SiC2 relaxed with PBEsol from the Alexandria database. Energies are from meta-GGA SCAN.

Cell lengths 8.2886, 2.7577, 4.8716 Å; angles 90.00, 91.11, 90.00 degrees
Space group Cm (No. 8)
Asymmetric unit:
1 Si 0.0000 0.0000 0.0000
2 Si 0.1964 0.5000 0.5012
3 C 0.0135 0.5000 0.7130
4 C 0.1869 0.0000 0.2184
5 C 0.3255 0.0000 0.0458
6 C 0.3344 0.0000 0.7281



*four*
Here is a crystal of SiC2 relaxed with PBEsol from the Alexandria database. Energies are from meta-GGA SCAN.

Cell lengths 3.1576, 3.1576, 6.8770 Å; angles 90.00, 90.00, 90.00 degrees
Space group P4_2/mmc (No. 131)
Asymmetric unit:
1 Si 0.0000 0.0000 0.2500
2 C 0.0000 0.5000 0.0992



Question: which arrangement is favored energetically? Ranking from most to least stable: *four*, *three*, *one*, *two*.



*one*
Here is a crystal of SiC relaxed with PBEsol from the Alexandria database. Energies are from meta-GGA SCAN.

Cell lengths 3.0808, 3.0808, 20.1503 Å; angles 90.00, 90.00, 120.00 degrees
Space group P6_3mc (No. 186)
Asymmetric unit:
1 Si 0.0000 0.0000 0.0000
2 Si 0.3333 0.6667 0.1249
3 Si 0.3333 0.6667 0.3751
4 Si 0.3333 0.6667 0.7500
5 C 0.0000 0.0000 0.4062
6 C 0.3333 0.6667 0.0312
7 C 0.3333 0.6667 0.2814
8 C 0.3333 0.6667 0.6560



*two*
Here is a crystal of SiC relaxed with PBEsol from the Alexandria database. Energies are from meta-GGA SCAN.

Cell lengths 2.8662, 2.8662, 5.0204 Å; angles 90.00, 90.00, 120.00 degrees
Space group P6_3/mmc (No. 194)
Asymmetric unit:
1 Si 0.3333 0.6667 0.2500
2 C 0.0000 0.0000 0.0000



Question: which arrangement is favored energetically? Ranking from most to least stable: *one*, *two*.



*one*
Here is a crystal of Si3C4 relaxed with PBEsol from the Alexandria database. Energies are from meta-GGA SCAN.

Cell lengths 4.3913, 4.3913, 4.3913 Å; angles 90.00, 90.00, 90.00 degrees
Space group P-43m (No. 215)
Asymmetric unit:
1 Si 0.0000 0.0000 0.5000
2 C 0.2282 0.2282 0.2282



*two*
Here is a crystal of Si3C4 relaxed with PBEsol from the Alexandria database. Energies are from meta-GGA SCAN.

Cell lengths 3.9491, 3.9491, 3.9491 Å; angles 90.00, 90.00, 90.00 degrees
Space group Pm-3m (No. 221)
Asymmetric unit:
1 Si 0.0000 0.0000 0.5000
2 C 0.0000 0.0000 0.0000
3 C 0.0000 0.5000 0.5000



Question: which arrangement is favored energetically? Ranking from most to least stable: *one*, *two*.